Below is a relaxed structure of Ho2UTcC4, with properties calculated at the PBE-GGA level.

The calculation puts the total magnetization at 1.756 μB per formula unit. The formation energy comes out at 0.05 eV per atom.

Unit cell a=6.126 b=6.126 c=12.068 alpha=90.00 beta=90.00 gamma=147.63
Atoms (fractional coordinates):
Ho (0.131, 0.869, 0.541)
Ho (0.131, 0.869, 0.959)
Ho (0.869, 0.131, 0.041)
Ho (0.869, 0.131, 0.459)
U (0.402, 0.598, 0.750)
U (0.598, 0.402, 0.250)
Tc (0.337, 0.663, 0.250)
Tc (0.663, 0.337, 0.750)
C (0.058, 0.942, 0.750)
C (0.227, 0.773, 0.135)
C (0.227, 0.773, 0.365)
C (0.500, 0.500, 0.000)
C (0.500, 0.500, 0.500)
C (0.773, 0.227, 0.635)
C (0.773, 0.227, 0.865)
C (0.942, 0.058, 0.250)

Below is a relaxed structure of HoUTcC3, with properties calculated at the PBE-GGA level.

The calculation puts the total magnetization at 0.000 μB per formula unit. The formation energy comes out at 0.03 eV per atom.

Unit cell a=7.003 b=3.584 c=7.703 alpha=90.00 beta=92.39 gamma=90.00
Atoms (fractional coordinates):
Ho (0.143, 0.250, 0.161)
Ho (0.857, 0.750, 0.839)
U (0.372, 0.750, 0.830)
U (0.628, 0.250, 0.170)
Tc (0.105, 0.250, 0.591)
Tc (0.895, 0.750, 0.409)
C (0.139, 0.250, 0.850)
C (0.177, 0.750, 0.511)
C (0.412, 0.750, 0.121)
C (0.588, 0.250, 0.879)
C (0.823, 0.250, 0.489)
C (0.861, 0.750, 0.150)

Below is a relaxed structure of Ho2UTc2C4, with properties calculated at the PBE-GGA level.

The calculation puts the total magnetization at 0.000 μB per formula unit. The formation energy comes out at -0.04 eV per atom.

Unit cell a=6.586 b=6.586 c=6.074 alpha=106.89 beta=106.89 gamma=30.36
Atoms (fractional coordinates):
Ho (0.136, 0.136, 0.040)
Ho (0.864, 0.864, 0.960)
U (0.000, 0.000, 0.500)
Tc (0.326, 0.326, 0.499)
Tc (0.674, 0.674, 0.501)
C (0.230, 0.230, 0.733)
C (0.479, 0.479, 0.757)
C (0.521, 0.521, 0.243)
C (0.770, 0.770, 0.267)

Below is a relaxed structure of Ho2Zn2Tc2C, with properties calculated at the PBE-GGA level.

The calculation puts the total magnetization at 0.000 μB per formula unit. The formation energy comes out at -0.26 eV per atom.

Unit cell a=5.732 b=5.732 c=6.750 alpha=106.69 beta=106.69 gamma=34.65
Atoms (fractional coordinates):
Ho (0.007, 0.007, 0.257)
Ho (0.993, 0.993, 0.743)
Zn (0.308, 0.308, 0.395)
Zn (0.692, 0.692, 0.605)
Tc (0.311, 0.311, 0.917)
Tc (0.689, 0.689, 0.083)
C (0.500, 0.500, 0.000)

Below is a relaxed structure of Ho2TeC, with properties calculated at the PBE-GGA level.

The uncorrected formation energy comes out at -0.8732 eV/atom. The calculation puts the total magnetization at 0.000 μB per formula unit.

Unit cell a=7.332 b=7.332 c=7.332 alpha=30.12 beta=30.12 gamma=30.12
Atoms (fractional coordinates):
Ho (0.229, 0.229, 0.229)
Ho (0.771, 0.771, 0.771)
Te (0.000, 0.000, 0.000)
C (0.500, 0.500, 0.500)

Below is a relaxed structure of HoTeC, with properties calculated at the PBE-GGA level.

The uncorrected formation energy comes out at -0.5540 eV/atom. The calculation puts the total magnetization at 0.000 μB per formula unit.

Unit cell a=8.608 b=8.608 c=8.608 alpha=151.46 beta=150.60 gamma=41.44
Atoms (fractional coordinates):
Ho (0.121, 0.121, 0.000)
Ho (0.879, 0.879, 0.000)
Te (0.322, 0.322, 0.000)
Te (0.678, 0.678, 0.000)
C (0.000, 0.353, 0.353)
C (0.000, 0.647, 0.647)

Below is a relaxed structure of Ho3TeC, with properties calculated at the PBE-GGA level.

The uncorrected formation energy comes out at -0.5880 eV/atom. The calculation puts the total magnetization at 0.234 μB per formula unit. The energy relative to the lowest polymorph listed for this composition is 0 meV per atom.

Unit cell a=9.177 b=9.177 c=6.245 alpha=100.90 beta=100.90 gamma=93.94
Atoms (fractional coordinates):
Ho (0.080, 0.762, 0.964)
Ho (0.153, 0.559, 0.415)
Ho (0.238, 0.920, 0.536)
Ho (0.304, 0.503, 0.944)
Ho (0.441, 0.847, 0.085)
Ho (0.497, 0.696, 0.556)
Ho (0.503, 0.304, 0.444)
Ho (0.559, 0.153, 0.915)
Ho (0.696, 0.497, 0.056)
Ho (0.762, 0.080, 0.464)
Ho (0.847, 0.441, 0.585)
Ho (0.920, 0.238, 0.036)
Te (0.096, 0.240, 0.556)
Te (0.240, 0.096, 0.056)
Te (0.760, 0.904, 0.944)
Te (0.904, 0.760, 0.444)
C (0.284, 0.716, 0.250)
C (0.284, 0.716, 0.750)
C (0.716, 0.284, 0.250)
C (0.716, 0.284, 0.750)

Below is a relaxed structure of Ho2TeC, with properties calculated at the PBE-GGA level.

The uncorrected formation energy comes out at -0.6903 eV/atom. The calculation puts the total magnetization at 0.000 μB per formula unit.

Unit cell a=3.817 b=6.551 c=7.272 alpha=90.00 beta=90.00 gamma=90.00
Atoms (fractional coordinates):
Ho (0.250, 0.011, 0.185)
Ho (0.250, 0.489, 0.185)
Ho (0.750, 0.511, 0.815)
Ho (0.750, 0.989, 0.815)
Te (0.250, 0.250, 0.571)
Te (0.750, 0.750, 0.429)
C (0.250, 0.750, 0.942)
C (0.750, 0.250, 0.058)

Below is a relaxed structure of Ho4Te3C2, with properties calculated at the PBE-GGA level.

The uncorrected formation energy comes out at -0.7468 eV/atom. The calculation puts the total magnetization at 0.000 μB per formula unit.

Unit cell a=8.737 b=8.737 c=5.937 alpha=96.72 beta=96.72 gamma=78.34
Atoms (fractional coordinates):
Ho (0.010, 0.686, 0.528)
Ho (0.252, 0.431, 0.096)
Ho (0.314, 0.990, 0.972)
Ho (0.431, 0.252, 0.596)
Ho (0.569, 0.748, 0.404)
Ho (0.686, 0.010, 0.028)
Ho (0.748, 0.569, 0.904)
Ho (0.990, 0.314, 0.472)
Te (0.011, 0.758, 0.038)
Te (0.242, 0.989, 0.462)
Te (0.383, 0.617, 0.750)
Te (0.617, 0.383, 0.250)
Te (0.758, 0.011, 0.538)
Te (0.989, 0.242, 0.962)
C (0.201, 0.441, 0.494)
C (0.441, 0.201, 0.994)
C (0.559, 0.799, 0.006)
C (0.799, 0.559, 0.506)

Below is a relaxed structure of Ho3TeC, with properties calculated at the PBE-GGA level.

The uncorrected formation energy comes out at -0.4962 eV/atom. The calculation puts the total magnetization at 0.000 μB per formula unit. The energy relative to the lowest polymorph listed for this composition is 92 meV per atom.

Unit cell a=9.769 b=9.769 c=7.346 alpha=90.00 beta=90.00 gamma=157.89
Atoms (fractional coordinates):
Ho (0.076, 0.924, 0.500)
Ho (0.265, 0.735, 0.101)
Ho (0.400, 0.600, 0.379)
Ho (0.600, 0.400, 0.879)
Ho (0.735, 0.265, 0.601)
Ho (0.924, 0.076, 0.000)
Te (0.346, 0.654, 0.752)
Te (0.654, 0.346, 0.252)
C (0.157, 0.843, 0.734)
C (0.843, 0.157, 0.234)

Below is a relaxed structure of Ho3TeC, with properties calculated at the PBE-GGA level.

The uncorrected formation energy comes out at -0.5193 eV/atom. The calculation puts the total magnetization at 0.000 μB per formula unit. The energy relative to the lowest polymorph listed for this composition is 69 meV per atom.

Unit cell a=4.871 b=4.871 c=4.871 alpha=90.00 beta=90.00 gamma=90.00
Atoms (fractional coordinates):
Ho (0.000, 0.000, 0.500)
Ho (0.000, 0.500, 0.000)
Ho (0.500, 0.000, 0.000)
Te (0.500, 0.500, 0.500)
C (0.000, 0.000, 0.000)

Below is a relaxed structure of Ho3Te2C2, with properties calculated at the PBE-GGA level.

The uncorrected formation energy comes out at -0.3621 eV/atom. The calculation puts the total magnetization at 0.000 μB per formula unit.

Unit cell a=6.350 b=7.472 c=7.584 alpha=90.00 beta=114.03 gamma=90.00
Atoms (fractional coordinates):
Ho (0.000, 0.000, 0.000)
Ho (0.000, 0.500, 0.500)
Ho (0.402, 0.129, 0.769)
Ho (0.402, 0.371, 0.269)
Ho (0.598, 0.629, 0.731)
Ho (0.598, 0.871, 0.231)
Te (0.184, 0.640, 0.916)
Te (0.184, 0.860, 0.416)
Te (0.816, 0.140, 0.584)
Te (0.816, 0.360, 0.084)
C (0.349, 0.112, 0.065)
C (0.349, 0.388, 0.565)
C (0.651, 0.612, 0.435)
C (0.651, 0.888, 0.935)

Below is a relaxed structure of Ho4TeC, with properties calculated at the PBE-GGA level.

The uncorrected formation energy comes out at -0.5131 eV/atom. The calculation puts the total magnetization at 0.000 μB per formula unit. The energy relative to the lowest polymorph listed for this composition is 0 meV per atom.

Unit cell a=8.175 b=8.175 c=6.310 alpha=105.81 beta=105.81 gamma=118.93
Atoms (fractional coordinates):
Ho (0.055, 0.652, 0.833)
Ho (0.155, 0.259, 0.698)
Ho (0.259, 0.155, 0.198)
Ho (0.348, 0.945, 0.667)
Ho (0.652, 0.055, 0.333)
Ho (0.741, 0.845, 0.802)
Ho (0.845, 0.741, 0.302)
Ho (0.945, 0.348, 0.167)
Te (0.396, 0.604, 0.250)
Te (0.604, 0.396, 0.750)
C (0.065, 0.935, 0.750)
C (0.935, 0.065, 0.250)

Below is a relaxed structure of Ho6Te2C3, with properties calculated at the PBE-GGA level.

The uncorrected formation energy comes out at -0.7375 eV/atom. The calculation puts the total magnetization at 0.877 μB per formula unit.

Unit cell a=6.431 b=6.431 c=7.429 alpha=98.36 beta=98.36 gamma=120.07
Atoms (fractional coordinates):
Ho (0.058, 0.395, 0.183)
Ho (0.270, 0.270, 0.821)
Ho (0.395, 0.058, 0.183)
Ho (0.605, 0.942, 0.817)
Ho (0.730, 0.730, 0.179)
Ho (0.942, 0.605, 0.817)
Te (0.165, 0.835, 0.500)
Te (0.835, 0.165, 0.500)
C (0.000, 0.000, 0.000)
C (0.330, 0.670, 0.000)
C (0.670, 0.330, 0.000)

Below is a relaxed structure of Ho4TeC, with properties calculated at the PBE-GGA level.

The uncorrected formation energy comes out at -0.3353 eV/atom. The calculation puts the total magnetization at 0.000 μB per formula unit. The energy relative to the lowest polymorph listed for this composition is 178 meV per atom.

Unit cell a=6.971 b=6.971 c=6.546 alpha=96.57 beta=96.57 gamma=108.62
Atoms (fractional coordinates):
Ho (0.044, 0.765, 0.959)
Ho (0.201, 0.408, 0.588)
Ho (0.235, 0.956, 0.541)
Ho (0.408, 0.201, 0.088)
Ho (0.592, 0.799, 0.912)
Ho (0.765, 0.044, 0.459)
Ho (0.799, 0.592, 0.412)
Ho (0.956, 0.235, 0.041)
Te (0.367, 0.633, 0.250)
Te (0.633, 0.367, 0.750)
C (0.011, 0.989, 0.250)
C (0.989, 0.011, 0.750)

Below is a relaxed structure of Ho5Te5C, with properties calculated at the PBE-GGA level.

The uncorrected formation energy comes out at -1.1403 eV/atom. The calculation puts the total magnetization at 0.000 μB per formula unit.

Unit cell a=7.304 b=7.304 c=8.378 alpha=107.55 beta=107.55 gamma=48.41
Atoms (fractional coordinates):
Ho (0.000, 0.000, 0.000)
Ho (0.357, 0.357, 0.138)
Ho (0.361, 0.361, 0.716)
Ho (0.639, 0.639, 0.284)
Ho (0.643, 0.643, 0.862)
Te (0.159, 0.159, 0.813)
Te (0.180, 0.180, 0.334)
Te (0.500, 0.500, 0.500)
Te (0.820, 0.820, 0.666)
Te (0.841, 0.841, 0.187)
C (0.500, 0.500, 0.000)

Below is a relaxed structure of Ho7Te3C2, with properties calculated at the PBE-GGA level.

The uncorrected formation energy comes out at -0.6191 eV/atom. The calculation puts the total magnetization at 0.000 μB per formula unit.

Unit cell a=12.520 b=12.520 c=4.814 alpha=90.00 beta=90.00 gamma=157.62
Atoms (fractional coordinates):
Ho (0.000, 0.000, 0.000)
Ho (0.096, 0.904, 0.500)
Ho (0.196, 0.804, 0.000)
Ho (0.405, 0.595, 0.000)
Ho (0.595, 0.405, 0.000)
Ho (0.804, 0.196, 0.000)
Ho (0.904, 0.096, 0.500)
Te (0.313, 0.687, 0.500)
Te (0.500, 0.500, 0.500)
Te (0.687, 0.313, 0.500)
C (0.101, 0.899, 0.000)
C (0.899, 0.101, 0.000)

Below is a relaxed structure of Ho6Te3C, with properties calculated at the PBE-GGA level.

The uncorrected formation energy comes out at -0.6910 eV/atom. The calculation puts the total magnetization at 0.000 μB per formula unit.

Unit cell a=9.439 b=9.439 c=6.786 alpha=90.00 beta=90.00 gamma=105.23
Atoms (fractional coordinates):
Ho (0.055, 0.945, 0.500)
Ho (0.108, 0.572, 0.483)
Ho (0.210, 0.790, 0.930)
Ho (0.265, 0.418, 0.030)
Ho (0.418, 0.265, 0.530)
Ho (0.428, 0.892, 0.483)
Ho (0.572, 0.108, 0.983)
Ho (0.582, 0.735, 0.030)
Ho (0.735, 0.582, 0.530)
Ho (0.790, 0.210, 0.430)
Ho (0.892, 0.428, 0.983)
Ho (0.945, 0.055, 0.000)
Te (0.099, 0.263, 0.671)
Te (0.263, 0.099, 0.171)
Te (0.427, 0.573, 0.388)
Te (0.573, 0.427, 0.888)
Te (0.737, 0.901, 0.671)
Te (0.901, 0.737, 0.171)
C (0.195, 0.805, 0.601)
C (0.805, 0.195, 0.101)

Below is a relaxed structure of Ho5Te4C, with properties calculated at the PBE-GGA level.

The uncorrected formation energy comes out at -1.1044 eV/atom. The calculation puts the total magnetization at 0.000 μB per formula unit.

Unit cell a=7.310 b=7.310 c=7.310 alpha=99.59 beta=99.59 gamma=131.81
Atoms (fractional coordinates):
Ho (0.000, 0.000, 0.000)
Ho (0.213, 0.364, 0.666)
Ho (0.364, 0.698, 0.152)
Ho (0.546, 0.213, 0.848)
Ho (0.698, 0.546, 0.334)
Te (0.042, 0.646, 0.776)
Te (0.267, 0.042, 0.396)
Te (0.646, 0.870, 0.604)
Te (0.870, 0.267, 0.224)
C (0.430, 0.430, 0.000)

Below is a relaxed structure of Ho4Te5C2, with properties calculated at the PBE-GGA level.

The uncorrected formation energy comes out at -0.8894 eV/atom. The calculation puts the total magnetization at 0.000 μB per formula unit.

Unit cell a=9.846 b=9.846 c=8.346 alpha=104.16 beta=104.16 gamma=24.51
Atoms (fractional coordinates):
Ho (0.005, 0.005, 0.268)
Ho (0.332, 0.332, 0.419)
Ho (0.668, 0.668, 0.581)
Ho (0.995, 0.995, 0.732)
Te (0.154, 0.154, 0.827)
Te (0.166, 0.166, 0.312)
Te (0.500, 0.500, 0.000)
Te (0.834, 0.834, 0.688)
Te (0.846, 0.846, 0.173)
C (0.467, 0.467, 0.500)
C (0.533, 0.533, 0.500)